Crystalline Sr3Ca4Hg at its relaxed geometry. Source: the Alexandria database, functional GGA-PBE.

abc: 3.9823 3.9823 21.4583
angles: 90.00 90.00 90.00
Element x y z (fractional)
Ca1 0.0000 0.0000 0.6387
Ca2 0.0000 0.0000 0.0817
Hg1 0.5000 0.5000 0.0000
Ca3 0.0000 0.0000 0.9183
Sr1 0.5000 0.5000 0.7780
Ca4 0.0000 0.0000 0.3613
Sr2 0.5000 0.5000 0.5000
Sr3 0.5000 0.5000 0.2220

The value obtained for the density of states at the Fermi level is 1.18 states/eV per atom. Its calculated total energy is -1.79 eV/atom. The value obtained for the energy relative to the elements is -0.12 eV/atom.



Crystalline Sr4Ag at its relaxed geometry. Source: the Alexandria database, functional GGA-PBE.

abc: 6.7379 6.7379 6.7379
angles: 109.47 109.47 109.47
Element x y z (fractional)
Sr1 0.0000 0.0000 0.5000
Sr2 0.5000 0.5000 0.5000
Sr3 0.0000 0.5000 0.0000
Ag1 0.0000 0.0000 0.0000
Sr4 0.5000 0.0000 0.0000

The value obtained for the density of states at the Fermi level is 1.11 states/eV per atom. The value obtained for the energy above the most stable polymorph in this dataset is 3.87 kcal/mol of atoms. Its calculated total energy is -1.84 eV/atom. The value obtained for the energy relative to the elements is 0.07 eV/atom.



Crystalline Li2MoRu at its relaxed geometry. Source: the Alexandria database, functional GGA-PBE.

abc: 4.1587 4.1587 4.1587
angles: 60.00 60.00 60.00
Element x y z (fractional)
Ru1 0.5000 0.5000 0.5000
Li1 0.2500 0.2500 0.2500
Mo1 0.0000 0.0000 0.0000
Li2 0.7500 0.7500 0.7500

The value obtained for the density of states at the Fermi level is 1.55 states/eV per atom. The value obtained for the energy above the most stable polymorph in this dataset is 11.78 kcal/mol of atoms. Its calculated total energy is -5.27 eV/atom. The value obtained for the energy relative to the elements is 0.71 eV/atom.



Crystalline PmSmGdDy at its relaxed geometry. Source: the Alexandria database, functional GGA-PBE.

abc: 5.7354 5.7354 5.7354
angles: 60.00 60.00 60.00
Last column: magnetic moment on the atom in μB.
Element x y z (fractional)
Sm1 0.7500 0.7500 0.7500  0.20
Pm1 0.5000 0.5000 0.5000  0.26
Gd1 0.2500 0.2500 0.2500  7.38
Dy1 0.0000 0.0000 0.0000  0.28

The value obtained for the density of states at the Fermi level is 1.78 states/eV per atom. Its calculated total energy is -6.92 eV/atom. The value obtained for the energy relative to the elements is 0.12 eV/atom.



Crystalline TiBi2O6 at its relaxed geometry. Source: the Alexandria database, functional GGA-PBE.

abc: 6.1648 6.1648 6.1648
angles: 128.39 128.39 75.99
Last column: magnetic moment on the atom in μB.
Element x y z (fractional)
Bi1 0.9931 0.4931 0.5000  0.02
O1 0.6275 0.6275 0.5193  0.15
O2 0.1082 0.1082 0.4807  0.15
Bi2 0.4931 0.9931 0.5000  0.02
O3 0.6275 0.1082 0.0000  0.15
Ti1 0.7973 0.7973 0.0000  -0.04
O4 0.6131 0.6131 0.0000  0.09
O5 0.0761 0.0761 0.0000  0.96
O6 0.1082 0.6275 0.0000  0.15

As for the energy relative to the elements, uncorrected: -1378 meV per atom. The value obtained for the density of states at the Fermi level is 0.59 states/eV per atom. Its calculated total energy is -6.42 eV/atom.



Crystalline Cd6AgAu5 at its relaxed geometry. Source: the Alexandria database, functional GGA-PBE.

abc: 9.5597 5.3875 5.3497
angles: 59.77 85.03 80.09
Element x y z (fractional)
Cd1 0.7503 0.4168 0.6664
Cd2 0.7491 0.7502 0.0000
Au1 0.5000 0.1675 0.6650
Cd3 0.2509 0.2498 0.0000
Au2 0.5000 0.5000 0.0000
Cd4 0.7503 0.0833 0.3336
Cd5 0.2497 0.9167 0.6664
Au3 0.0000 0.3343 0.3314
Cd6 0.2497 0.5832 0.3336
Au4 0.0000 0.6657 0.6686
Au5 0.5000 0.8325 0.3350
Ag1 0.0000 0.0000 0.0000

The value obtained for the density of states at the Fermi level is 0.26 states/eV per atom. The value obtained for the energy above the most stable polymorph in this dataset is 1.32 kcal/mol of atoms. Its calculated total energy is -2.16 eV/atom. The value obtained for the energy relative to the elements is -0.10 eV/atom.



Crystalline LiFe2Mo at its relaxed geometry. Source: the Alexandria database, functional GGA-PBE.

abc: 5.1104 4.8097 2.5280
angles: 81.39 77.70 118.38
Last column: magnetic moment on the atom in μB.
Element x y z (fractional)
Fe1 0.5000 0.0000 0.5000  2.02
Li1 0.0000 0.5000 0.5000  -0.05
Fe2 0.0000 0.0000 0.0000  2.02
Mo1 0.5000 0.5000 0.0000  -0.34

The value obtained for the density of states at the Fermi level is 0.84 states/eV per atom. The value obtained for the energy above the most stable polymorph in this dataset is 2.01 kcal/mol of atoms. Its calculated total energy is -7.12 eV/atom. The value obtained for the energy relative to the elements is 0.30 eV/atom.



Crystalline LiAcNd2Tl4 at its relaxed geometry. Source: the Alexandria database, functional GGA-PBE.

abc: 5.4157 5.4157 9.9818
angles: 74.26 74.26 60.00
Element x y z (fractional)
Nd1 0.7595 0.7595 0.7215
Nd2 0.2405 0.2405 0.2785
Tl1 0.8721 0.8721 0.3836
Tl2 0.1279 0.1279 0.6164
Tl3 0.3834 0.3834 0.8498
Tl4 0.6166 0.6166 0.1502
Li1 0.5000 0.5000 0.5000
Ac1 0.0000 0.0000 0.0000

The value obtained for the density of states at the Fermi level is 0.78 states/eV per atom. Its calculated total energy is -3.45 eV/atom. The value obtained for the energy relative to the elements is -0.32 eV/atom.



Crystalline LaPmNd5Dy2 at its relaxed geometry. Source: the Alexandria database, functional GGA-PBE.

abc: 5.7549 10.6159 10.7440
angles: 90.00 90.00 105.73
Element x y z (fractional)
Nd1 0.9834 0.9668 0.5254
Nd2 0.2956 0.5911 0.7047
Nd3 0.4778 0.9556 0.7401
Nd4 0.7044 0.4089 0.2047
Nd5 0.7192 0.4385 0.8123
Nd6 0.0166 0.0332 0.0254
La1 0.5838 0.1675 0.9487
Pm1 0.2007 0.4014 0.0108
Dy1 0.8833 0.7667 0.8231
Nd7 0.6111 0.2221 0.5262
Nd8 0.5222 0.0444 0.2401
Pm2 0.7993 0.5986 0.5108
La2 0.4162 0.8325 0.4487
Dy2 0.8873 0.7746 0.2328
Nd9 0.3889 0.7779 0.0262
Dy3 0.1167 0.2333 0.3231
Nd10 0.2808 0.5615 0.3123
Dy4 0.1127 0.2254 0.7328

The value obtained for the density of states at the Fermi level is 1.55 states/eV per atom. Its calculated total energy is -4.60 eV/atom. The value obtained for the energy relative to the elements is 0.14 eV/atom.



Crystalline NaNpF6 at its relaxed geometry. Source: the Alexandria database, functional GGA-PBE.

abc: 6.2128 6.2128 6.2128
angles: 60.00 60.00 60.00
Last column: magnetic moment on the atom in μB.
Element x y z (fractional)
F1 0.2365 0.2365 0.7635  -0.03
Na1 0.5000 0.5000 0.5000  0.00
F2 0.2365 0.7635 0.7635  -0.03
F3 0.7635 0.2365 0.7635  -0.03
F4 0.7635 0.2365 0.2365  -0.03
Np1 0.0000 0.0000 0.0000  2.16
F5 0.7635 0.7635 0.2365  -0.03
F6 0.2365 0.7635 0.2365  -0.03

As for the energy relative to the elements, uncorrected: -3241 meV per atom. The value obtained for the density of states at the Fermi level is 1.05 states/eV per atom. The value obtained for the energy above the most stable polymorph in this dataset is 0.00 kcal/mol of atoms. Its calculated total energy is -6.43 eV/atom.



Crystalline Zn2BrN at its relaxed geometry. Source: the Alexandria database, functional GGA-PBE.

abc: 4.4316 4.4316 4.4316
angles: 60.00 60.00 60.00
Last column: magnetic moment on the atom in μB.
Element x y z (fractional)
N1 0.0000 0.0000 0.0000  -0.09
Zn1 0.2500 0.2500 0.2500  0.01
Zn2 0.7500 0.7500 0.7500  0.01
Br1 0.5000 0.5000 0.5000  -0.02

As for the energy relative to the elements, uncorrected: 1064 meV per atom. The value obtained for the density of states at the Fermi level is 0.50 states/eV per atom. The value obtained for the energy above the most stable polymorph in this dataset is 32.89 kcal/mol of atoms. Its calculated total energy is -2.07 eV/atom.



Crystalline TcSb2AuI at its relaxed geometry. Source: the Alexandria database, functional GGA-PBE.

abc: 5.0619 5.0619 5.7035
angles: 90.00 90.00 90.00
Element x y z (fractional)
Au1 0.5000 0.5000 0.5000
Tc1 0.0000 0.0000 0.0000
I1 0.0000 0.0000 0.5000
Sb1 0.5000 0.0000 0.0000
Sb2 0.0000 0.5000 0.0000

As for the energy relative to the elements, uncorrected: 620 meV per atom. The value obtained for the density of states at the Fermi level is 0.92 states/eV per atom. The value obtained for the energy above the most stable polymorph in this dataset is 0.00 kcal/mol of atoms. Its calculated total energy is -4.07 eV/atom.



calculated total energy of number 5 (TiBi2O6)?
-6.42 eV/atom